## P
Density functional theory data (PBE) for an optimized crystal structure of CoBIrW.

Unit cell a=4.140 b=4.140 c=4.140 alpha=60.00 beta=60.00 gamma=60.00
Element x y z (fractional)
Co1 0.750 0.750 0.750
Ir1 0.250 0.250 0.250
B1 0.000 0.000 0.000
W1 0.500 0.500 0.500

* SG: No. 216


## Q
Density functional theory data (PBE) for an optimized crystal structure of CoBIrW.

Unit cell a=4.149 b=4.149 c=4.149 alpha=60.00 beta=60.00 gamma=60.00
Element x y z (fractional)
Co1 0.750 0.750 0.750
W1 0.250 0.250 0.250
B1 0.000 0.000 0.000
Ir1 0.500 0.500 0.500

* SG: No. 216


Most favorable first, least favorable last: Q, P


## P
Density functional theory data (PBE) for an optimized crystal structure of ZrCoBIr.

Unit cell a=4.247 b=4.247 c=4.247 alpha=60.00 beta=60.00 gamma=60.00
Element x y z (fractional)
Zr1 0.500 0.500 0.500
Co1 0.750 0.750 0.750
Ir1 0.250 0.250 0.250
B1 0.000 0.000 0.000

* SG: No. 216


## Q
Density functional theory data (PBE) for an optimized crystal structure of ZrCoBIr.

Unit cell a=4.317 b=4.317 c=4.317 alpha=60.00 beta=60.00 gamma=60.00
Element x y z (fractional)
Zr1 0.250 0.250 0.250
B1 0.000 0.000 0.000
Co1 0.750 0.750 0.750
Ir1 0.500 0.500 0.500

* SG: No. 216


Most favorable first, least favorable last: P, Q


## P
Density functional theory data (PBE) for an optimized crystal structure of LaCoB4.

Unit cell a=3.152 b=3.152 c=7.004 alpha=90.00 beta=90.00 gamma=120.00
Element x y z (fractional)
La1 0.000 0.000 0.000
B1 0.333 0.667 0.685
Co1 0.000 0.000 0.500
B2 0.667 0.333 0.685
B3 0.333 0.667 0.315
B4 0.667 0.333 0.315

* SG: No. 191


## Q
Density functional theory data (PBE) for an optimized crystal structure of LaCoB4.

Unit cell a=5.093 b=5.093 c=5.093 alpha=144.54 beta=116.81 gamma=74.60
Element x y z (fractional)
La1 0.500 0.500 0.000
B1 0.082 0.746 0.336
Co1 0.000 0.000 0.000
B2 0.590 0.254 0.336
B3 0.410 0.746 0.664
B4 0.918 0.254 0.664

* SG: No. 71


Most favorable first, least favorable last: P, Q


## P
Density functional theory data (PBE) for an optimized crystal structure of LiCoB4.

Unit cell a=2.963 b=2.963 c=6.512 alpha=90.00 beta=90.00 gamma=120.00
Element x y z (fractional)
Li1 0.000 0.000 0.500
B1 0.667 0.333 0.782
B2 0.333 0.667 0.782
B3 0.333 0.667 0.218
B4 0.667 0.333 0.218
Co1 0.000 0.000 0.000

* SG: No. 191


## Q
Density functional theory data (PBE) for an optimized crystal structure of LiCoB4.

Unit cell a=4.190 b=4.190 c=4.190 alpha=138.25 beta=105.01 gamma=89.72
Element x y z (fractional)
B1 0.906 0.245 0.661
B2 0.416 0.755 0.661
Li1 0.500 0.500 0.000
Co1 0.000 0.000 0.000
B3 0.094 0.755 0.339
B4 0.584 0.245 0.339

* SG: No. 71


Most favorable first, least favorable last: P, Q


## P
Density functional theory data (PBE) for an optimized crystal structure of LiMgCoB.

Unit cell a=3.901 b=3.901 c=3.901 alpha=60.00 beta=60.00 gamma=60.00
Element x y z (fractional)
Mg1 0.500 0.500 0.500
B1 0.250 0.250 0.250
Li1 0.750 0.750 0.750
Co1 0.000 0.000 0.000

* SG: No. 216


## Q
Density functional theory data (PBE) for an optimized crystal structure of LiMgCoB.

Unit cell a=3.922 b=3.922 c=3.922 alpha=60.00 beta=60.00 gamma=60.00
Element x y z (fractional)
B1 0.000 0.000 0.000
Li1 0.750 0.750 0.750
Co1 0.250 0.250 0.250
Mg1 0.500 0.500 0.500

* SG: No. 216


Most favorable first, least favorable last: P, Q


## P
Density functional theory data (PBE) for an optimized crystal structure of LiNbCoB.

Unit cell a=4.012 b=4.012 c=4.012 alpha=60.00 beta=60.00 gamma=60.00
Element x y z (fractional)
Li1 0.750 0.750 0.750
Co1 0.000 0.000 0.000
B1 0.500 0.500 0.500
Nb1 0.250 0.250 0.250

* SG: No. 216


## Q
Density functional theory data (PBE) for an optimized crystal structure of LiNbCoB.

Unit cell a=3.920 b=3.920 c=3.920 alpha=60.00 beta=60.00 gamma=60.00
Element x y z (fractional)
Li1 0.750 0.750 0.750
Co1 0.000 0.000 0.000
Nb1 0.500 0.500 0.500
B1 0.250 0.250 0.250

* SG: No. 216


Most favorable first, least favorable last: P, Q